DFT (PBE-GGA) results for a relaxed Pu4SnTe7 crystal.

Results
For the total moment, the calculation gives 20.05 μB/f.u. Its energy is -7.75 eV/atom.

abc: 4.4366 4.4366 24.8630
angles: 90.02 90.02 60.03
Closest atoms and distances in Å follow each position.
Atoms (fractional coordinates):
Pu (0.3333, 0.3333, 0.1555)  6 Te 3.03-3.21
Pu (0.3333, 0.3333, 0.4211)  6 Te 3.04-3.23
Pu (0.6667, 0.6667, 0.5789)  6 Te 3.04-3.23
Pu (0.6667, 0.6667, 0.8445)  6 Te 3.03-3.21
Sn (0.0000, 0.0000, 0.0000)  6 Te 3.21
Te (0.6667, 0.6667, 0.0779)  3 Pu 3.21, 3 Sn 3.21
Te (0.0000, 0.0000, 0.2205)  3 Pu 3.03
Te (0.6667, 0.6667, 0.3549)  3 Pu 3.04
Te (0.0000, 0.0000, 0.5000)  6 Pu 3.23
Te (0.3333, 0.3333, 0.6451)  3 Pu 3.04
Te (0.0000, 0.0000, 0.7795)  3 Pu 3.03
Te (0.3333, 0.3333, 0.9221)  3 Pu 3.21, 3 Sn 3.21